Compound: Mg2ZrFe
Source: the Alexandria database
Functional: GGA-PBE
Structure: relaxed

abc: 5.5889 10.2070 2.8463
angles: 90.00 110.56 90.00
Element x y z (fractional)
Mg (0.2500, 0.2500, 0.0000)
Mg (0.2500, 0.7500, 0.0000)
Mg (0.7500, 0.2500, 0.0000)
Mg (0.7500, 0.7500, 0.0000)
Zr (0.0000, 0.0000, 0.5000)
Zr (0.5000, 0.5000, 0.5000)
Fe (0.0000, 0.5000, 0.5000)
Fe (0.5000, 0.0000, 0.5000)

## Properties
ρ (g/cm³): 4.27
Crystal system: monoclinic
SG: No. 12
ΔE_f (eV/atom): 0.27

Compound: SrAsP3
Source: the Alexandria database
Functional: GGA-PBE
Structure: relaxed

abc: 5.3780 5.3780 5.3780
angles: 90.00 90.00 90.00
Element x y z (fractional)
Sr (0.0000, 0.0000, 0.0000)
As (0.5000, 0.5000, 0.5000)
P (0.0000, 0.0000, 0.5000)
P (0.0000, 0.5000, 0.0000)
P (0.5000, 0.0000, 0.0000)

## Properties
ρ (g/cm³): 2.73
Crystal system: cubic
Relative energy among the computed polymorphs (meV per atom): 1442.4
SG: No. 221
ΔE_f (eV/atom): 1.63

Compound: PaTiRh2
Source: the Alexandria database
Functional: GGA-PBE
Structure: relaxed

abc: 3.0162 3.0162 26.6658
angles: 90.00 90.00 120.00
Element x y z (fractional)
Pa (0.0000, 0.0000, 0.0000)
Pa (0.3333, 0.6667, 0.6667)
Pa (0.6667, 0.3333, 0.3333)
Ti (0.0000, 0.0000, 0.5000)
Ti (0.3333, 0.6667, 0.1667)
Ti (0.6667, 0.3333, 0.8333)
Rh (0.0000, 0.0000, 0.2388)
Rh (0.0000, 0.0000, 0.7612)
Rh (0.3333, 0.6667, 0.4278)
Rh (0.3333, 0.6667, 0.9055)
Rh (0.6667, 0.3333, 0.0945)
Rh (0.6667, 0.3333, 0.5722)

## Properties
ρ (g/cm³): 11.49
Crystal system: trigonal
Relative energy among the computed polymorphs (meV per atom): 336.3
SG: No. 166
ΔE_f (eV/atom): -0.36

Compound: BaAs2SeN
Source: the Alexandria database
Functional: GGA-PBE
Structure: relaxed

abc: 6.7192 6.7192 6.1970
angles: 90.00 90.00 90.00
Element x y z (fractional)
Ba (0.0000, 0.0000, 0.0000)
As (0.0000, 0.5000, 0.0000)
As (0.5000, 0.0000, 0.0000)
Se (0.0000, 0.0000, 0.5000)
N (0.5000, 0.5000, 0.5000)

## Properties
ρ (g/cm³): 2.26
Crystal system: tetragonal
Relative energy among the computed polymorphs (meV per atom): 1488.2
SG: No. 123
ΔE_f (raw) (eV/atom): 1.6940

Compound: BaNa2Br4
Source: the Alexandria database
Functional: GGA-PBE
Structure: relaxed

abc: 6.3132 6.3132 16.0088
angles: 90.00 90.00 90.00
Element x y z (fractional)
Ba (0.0000, 0.0000, 0.0000)
Ba (0.5000, 0.5000, 0.5000)
Na (0.0000, 0.0000, 0.3636)
Na (0.0000, 0.0000, 0.6364)
Na (0.5000, 0.5000, 0.1364)
Na (0.5000, 0.5000, 0.8636)
Br (0.0000, 0.0000, 0.1956)
Br (0.0000, 0.0000, 0.8044)
Br (0.0000, 0.5000, 0.0000)
Br (0.0000, 0.5000, 0.5000)
Br (0.5000, 0.0000, 0.0000)
Br (0.5000, 0.0000, 0.5000)
Br (0.5000, 0.5000, 0.3044)
Br (0.5000, 0.5000, 0.6956)

## Properties
ρ (g/cm³): 2.62
Crystal system: tetragonal
Relative energy among the computed polymorphs (meV per atom): 227.2
SG: No. 139
ΔE_f (raw) (eV/atom): -1.5872

Compound: Tb2CuNi3Ge4
Source: the Alexandria database
Functional: GGA-PBE
Structure: relaxed

abc: 4.1026 4.1026 9.7369
angles: 90.00 90.00 90.00
Element x y z (fractional)
Tb (0.0000, 0.5000, 0.2504)
Tb (0.5000, 0.0000, 0.7496)
Cu (0.0000, 0.0000, 0.5000)
Ni (0.0000, 0.5000, 0.8763)
Ni (0.5000, 0.0000, 0.1237)
Ni (0.5000, 0.5000, 0.5000)
Ge (0.0000, 0.0000, 0.0000)
Ge (0.0000, 0.5000, 0.6358)
Ge (0.5000, 0.0000, 0.3642)
Ge (0.5000, 0.5000, 0.0000)

## Properties
ρ (g/cm³): 8.59
Crystal system: tetragonal
SG: No. 115
ΔE_f (eV/atom): -0.65

Compound: In3AuCl
Source: the Alexandria database
Functional: GGA-PBE
Structure: relaxed

abc: 5.6658 5.6658 5.6658
angles: 90.00 90.00 90.00
Element x y z (fractional)
In (0.0000, 0.0000, 0.5000)
In (0.0000, 0.5000, 0.0000)
In (0.5000, 0.0000, 0.0000)
Au (0.5000, 0.5000, 0.5000)
Cl (0.0000, 0.0000, 0.0000)

## Properties
ρ (g/cm³): 5.27
Crystal system: cubic
Relative energy among the computed polymorphs (meV per atom): 475.9
SG: No. 221
ΔE_f (raw) (eV/atom): 0.2233

Compound: CuPdIO2
Source: the Alexandria database
Functional: GGA-PBE
Structure: relaxed

abc: 3.8128 3.8128 7.7735
angles: 90.00 90.00 90.00
Element x y z (fractional)
Cu (0.0000, 0.0000, 0.0000)
Pd (0.5000, 0.5000, 0.5000)
I (0.5000, 0.5000, 0.0000)
O (0.0000, 0.5000, 0.5000)
O (0.5000, 0.0000, 0.5000)

## Properties
ρ (g/cm³): 4.83
Crystal system: tetragonal
Relative energy among the computed polymorphs (meV per atom): 0.0
SG: No. 123
ΔE_f (raw) (eV/atom): 0.1848

- Look up the ρ of the eighth one.
  4.83 g/cm³

- Which value of ρ does entry 7 give?
  5.27 g/cm³